[1]
The following is a PBE-GGA calculation of an optimized crystal structure of MnAlZn, from Alexandria via LeMat-Bulk.

Computed properties:
For the formation enthalpy at 0 K, the calculation gives -0.03 eV/atom. As for the total magnetization: 2.72 μB per formula unit. As for the calculated total energy: -14.3 eV per cell. The value obtained for the volume is 42.3 Å³/cell.

abc: 4.2198 4.2198 2.7399
angles: 90.00 90.00 120.00
Closest atoms and distances in Å follow each position.
Atoms (fractional coordinates):
Mn1 0.0000 0.0000 0.0000  6 Zn 2.71-2.90, 6 Al 2.73-2.86, 2 Mn 2.74
Al1 0.3333 0.6667 0.5486  3 Zn 2.46, 3 Mn 2.73, 2 Al 2.74
Zn1 0.6667 0.3333 0.4292  3 Al 2.46, 3 Mn 2.71, 2 Zn 2.74

---

[2]
The following is a PBE-GGA calculation of an optimized crystal structure of RbBi3Ir, from Alexandria via LeMat-Bulk.

Computed properties:
For the formation enthalpy at 0 K, the calculation gives 0.25 eV/atom. As for the total magnetization: 0.00 μB per formula unit. As for the calculated total energy: -20.2 eV per cell. The value obtained for the volume is 170.7 Å³/cell.

abc: 5.5469 5.5469 5.5469
angles: 90.00 90.00 90.00
Closest atoms and distances in Å follow each position.
Atoms (fractional coordinates):
Rb1 0.0000 0.0000 0.0000  12 Bi 3.92
Bi1 0.0000 0.5000 0.5000  2 Ir 2.77
Bi2 0.5000 0.0000 0.5000  2 Ir 2.77
Bi3 0.5000 0.5000 0.0000  2 Ir 2.77
Ir1 0.5000 0.5000 0.5000  6 Bi 2.77

---

[3]
The following is a PBE-GGA calculation of an optimized crystal structure of SmY3Zn8, from Alexandria via LeMat-Bulk.

Computed properties:
For the formation enthalpy at 0 K, the calculation gives -0.34 eV/atom. As for the total magnetization: 0.00 μB per formula unit. As for the calculated total energy: -38.4 eV per cell. The value obtained for the volume is 233.8 Å³/cell.

abc: 9.4791 9.4791 9.4791
angles: 33.72 33.72 33.72
Closest atoms and distances in Å follow each position.
Atoms (fractional coordinates):
Sm1 0.0000 0.0000 0.0000  12 Zn 3.22-3.23, 4 Y 3.34-3.36
Y1 0.1246 0.1246 0.1246  12 Zn 3.20-3.23, 1 Sm 3.34, 3 Y 3.38
Y2 0.5009 0.5009 0.5009  12 Zn 3.20-3.23, 4 Y 3.34-3.38
Y3 0.6257 0.6257 0.6257  12 Zn 3.22-3.23, 1 Y 3.34, 3 Sm 3.36
Zn1 0.0628 0.0628 0.5607  6 Zn 2.73-2.76
Zn2 0.0628 0.5607 0.0628  6 Zn 2.73-2.76
Zn3 0.0649 0.5627 0.5627  6 Zn 2.72-2.76
Zn4 0.3129 0.3129 0.3129  6 Zn 2.75
Zn5 0.5607 0.0628 0.0628  6 Zn 2.73-2.76
Zn6 0.5627 0.0649 0.5627  6 Zn 2.72-2.76
Zn7 0.5627 0.5627 0.0649  6 Zn 2.72-2.76
Zn8 0.8126 0.8126 0.8126  6 Zn 2.72-2.73

---

[4]
The following is a PBE-GGA calculation of an optimized crystal structure of KCa2Cu2, from Alexandria via LeMat-Bulk.

Computed properties:
For the formation enthalpy at 0 K, the calculation gives 0.17 eV/atom. As for the total magnetization: 0.00 μB per formula unit. As for the calculated total energy: -24.9 eV per cell. The value obtained for the volume is 278.0 Å³/cell.

abc: 8.8878 8.8878 3.5198
angles: 90.00 90.00 90.00
Closest atoms and distances in Å follow each position.
Atoms (fractional coordinates):
K1 0.0000 0.0000 0.0000  4 Ca 3.45, 2 K 3.52, 8 Cu 3.82
K2 0.5000 0.5000 0.0000  4 Ca 3.45, 2 K 3.52, 8 Cu 3.82
Ca1 0.1365 0.3635 0.0000  6 Cu 3.09-3.22, 1 Ca 3.43, 2 K 3.45
Ca2 0.3635 0.8635 0.0000  6 Cu 3.09-3.22, 1 Ca 3.43, 2 K 3.45
Ca3 0.6365 0.1365 0.0000  6 Cu 3.09-3.22, 1 Ca 3.43, 2 K 3.45
Ca4 0.8635 0.6365 0.0000  6 Cu 3.09-3.22, 1 Ca 3.43, 2 K 3.45
Cu1 0.1486 0.6486 0.5000  6 Ca 3.09-3.22
Cu2 0.3514 0.1486 0.5000  6 Ca 3.09-3.22
Cu3 0.6486 0.8514 0.5000  6 Ca 3.09-3.22
Cu4 0.8514 0.3514 0.5000  6 Ca 3.09-3.22

---

[5]
The following is a PBE-GGA calculation of an optimized crystal structure of ScTaIn, from Alexandria via LeMat-Bulk.

Computed properties:
For the formation enthalpy at 0 K, the calculation gives 0.04 eV/atom. As for the total magnetization: 0.00 μB per formula unit. As for the calculated total energy: -20.8 eV per cell. The value obtained for the volume is 63.8 Å³/cell.

abc: 3.1579 3.1579 7.3926
angles: 90.00 90.00 120.00
Closest atoms and distances in Å follow each position.
Atoms (fractional coordinates):
Sc1 0.0000 0.0000 0.0000  3 Ta 2.97, 6 Sc 3.16, 3 In 3.17
Ta1 0.6667 0.3333 0.3169  3 Sc 2.97, 3 In 3.06, 6 Ta 3.16
In1 0.3333 0.6667 0.6491  3 Ta 3.06, 6 In 3.16, 3 Sc 3.17

---

[6]
The following is a PBE-GGA calculation of an optimized crystal structure of PmTm2MgPd4, from Alexandria via LeMat-Bulk.

Computed properties:
For the formation enthalpy at 0 K, the calculation gives -0.83 eV/atom. As for the total magnetization: 0.00 μB per formula unit. As for the calculated total energy: -42.7 eV per cell. The value obtained for the volume is 163.4 Å³/cell.

abc: 8.5218 8.5218 8.5218
angles: 33.01 33.01 33.01
Closest atoms and distances in Å follow each position.
Atoms (fractional coordinates):
Pm1 0.0000 0.0000 0.0000  8 Pd 3.03-3.04
Tm1 0.2438 0.2438 0.2438  7 Pd 2.85-2.96
Tm2 0.7562 0.7562 0.7562  7 Pd 2.85-2.96
Mg1 0.5000 0.5000 0.5000  8 Pd 2.83-2.97
Pd1 0.1256 0.1256 0.1256  4 Tm 2.85-2.93, 3 Mg 2.97, 1 Pm 3.03
Pd2 0.3828 0.3828 0.3828  1 Mg 2.83, 3 Tm 2.96, 3 Pm 3.04
Pd3 0.6172 0.6172 0.6172  1 Mg 2.83, 3 Tm 2.96, 3 Pm 3.04
Pd4 0.8744 0.8744 0.8744  4 Tm 2.85-2.93, 3 Mg 2.97, 1 Pm 3.03

---

[7]
The following is a PBE-GGA calculation of an optimized crystal structure of HfFeBiBr2, from Alexandria via LeMat-Bulk.

Computed properties:
As for the total magnetization: 2.23 μB per formula unit. As for the calculated total energy: -19.9 eV per cell. The value obtained for the volume is 170.7 Å³/cell. The uncorrected formation energy is 559 kJ/mol of formula units.

abc: 5.8190 5.8190 5.0425
angles: 90.00 90.00 90.00
Closest atoms and distances in Å follow each position.
Atoms (fractional coordinates):
Hf1 0.0000 0.0000 0.0000  8 Br 3.85, 4 Fe 4.11
Fe1 0.5000 0.5000 0.0000  2 Bi 2.52
Bi1 0.5000 0.5000 0.5000  2 Fe 2.52
Br1 0.0000 0.5000 0.5000  2 Bi 2.91
Br2 0.5000 0.0000 0.5000  2 Bi 2.91

---

[8]
The following is a PBE-GGA calculation of an optimized crystal structure of CePuNiIr, from Alexandria via LeMat-Bulk.

Computed properties:
For the formation enthalpy at 0 K, the calculation gives -0.43 eV/atom. As for the total magnetization: 5.79 μB per formula unit. As for the calculated total energy: -36.6 eV per cell. The value obtained for the volume is 88.3 Å³/cell.

abc: 4.3950 4.3950 5.2775
angles: 90.00 90.00 120.00
Closest atoms and distances in Å follow each position.
Atoms (fractional coordinates):
Ce1 0.0000 0.0000 0.0000  3 Ni 2.86, 3 Ir 2.88
Pu1 0.3333 0.6667 0.5005  3 Ir 2.85, 3 Ni 2.86
Ni1 0.6667 0.3333 0.7517  2 Ir 2.61-2.67, 3 Ce 2.86, 3 Pu 2.86
Ir1 0.6667 0.3333 0.2567  2 Ni 2.61-2.67, 3 Pu 2.85, 3 Ce 2.88